[1]
This record from Alexandria via LeMat-Bulk describes an optimized crystal structure of BaCd6Au4. The functional is PBE.

Cell and atoms, written as extended XYZ:
```
11
Lattice="-0.257 4.030 -2.122 4.983 -2.724 -5.776 -8.008 -0.927 -0.792" Properties=species:S:1:pos:R:3 pbc="T T T"
Ba 0.000 0.000 0.000
Cd 2.091 -1.528 -3.155
Cd -3.552 -0.337 -5.113
Cd -1.040 -1.891 -3.465
Cd 0.908 -2.956 -5.723
Cd -5.488 0.722 -2.869
Cd -2.377 1.082 -2.561
Au -0.934 -0.715 -6.148
Au 0.265 0.733 -3.543
Au 2.242 -0.347 -5.834
Au -3.677 -1.526 -2.453
```

Properties
- Space-group type: No. 187
- Total DFT energy (no corrections): -2.195 eV/atom
- Formation enthalpy at 0 K: -0.329 eV/atom
- M_tot: 0.0 Bohr magnetons per cell
- Calculated density: 10.25 g cm⁻³


[2]
This record from Alexandria via LeMat-Bulk describes an optimized crystal structure of MgCoBr. The functional is PBE.

Cell and atoms, written as extended XYZ:
```
3
Lattice="6.641 0.007 -0.005 5.436 3.102 0.039 1.205 -1.164 2.868" Properties=species:S:1:pos:R:3 pbc="T T T"
Br 11.963 3.065 0.064
Co 4.850 0.269 1.918
Mg 8.545 1.721 0.955
```

Properties
- Space-group type: No. 42
- Total DFT energy (no corrections): -3.210 eV/atom
- Uncorrected formation energy: 0.25 eV/atom
- M_tot: 1.8 Bohr magnetons per cell
- Relative energy among the computed polymorphs: 2.172 eV/f.u.
- Calculated density: 4.57 g cm⁻³


[3]
This record from Alexandria via LeMat-Bulk describes an optimized crystal structure of BaSiPt2. The functional is PBE.

Cell and atoms, written as extended XYZ:
```
4
Lattice="-2.269 3.008 3.998 -4.712 -2.793 0.416 5.377 -0.780 0.810" Properties=species:S:1:pos:R:3 pbc="T T T"
Ba -1.413 -1.733 1.716
Pt -6.426 0.198 4.063
Pt -4.046 0.124 2.558
Si -0.191 1.168 3.508
```

Properties
- Space-group type: No. 71
- Total DFT energy (no corrections): -5.267 eV/atom
- Uncorrected formation energy: -0.41 eV/atom
- M_tot: 0.0 Bohr magnetons per cell
- Calculated density: 9.48 g cm⁻³